The following is a DFT calculation (PBE-GGA) of an optimized crystal structure of K2P2Pd2Pt.

Summary:
The symmetry is C2/m.

Lattice parameters (Å, degrees): 4.3768 7.0634 6.8036 74.31 71.24 71.95
Fractional positions:
Pt 0.0000 0.0000 0.0000
K 0.4423 0.7843 0.3310
P 0.2136 0.7149 0.8580
Pd 0.7610 0.5910 0.8870
P 0.7864 0.2851 0.1420
K 0.5577 0.2157 0.6690
Pd 0.2390 0.4090 0.1130

The following is a DFT calculation (PBE-GGA) of an optimized crystal structure of KPPd2Pt.

Summary:
The symmetry is P4/mmm.

Lattice parameters (Å, degrees): 4.7061 4.7061 4.5499 90.00 90.00 90.00
Fractional positions:
K 0.5000 0.5000 0.5000
Pd 0.5000 0.0000 0.0000
Pd 0.0000 0.5000 0.0000
Pt 0.0000 0.0000 0.5000
P 0.0000 0.0000 0.0000

The following is a DFT calculation (PBE-GGA) of an optimized crystal structure of KP2PdPt4.

Summary:
The symmetry is P4/mmm.

Lattice parameters (Å, degrees): 4.0373 4.0373 9.9500 90.00 90.00 90.00
Fractional positions:
Pt 0.0000 0.5000 0.1859
K 0.0000 0.0000 0.5000
Pd 0.0000 0.0000 0.0000
Pt 0.5000 0.0000 0.8141
Pt 0.5000 0.0000 0.1859
Pt 0.0000 0.5000 0.8141
P 0.5000 0.5000 0.3001
P 0.5000 0.5000 0.6999

The following is a DFT calculation (PBE-GGA) of an optimized crystal structure of KRbPPd.

Summary:
The symmetry is Imm2.

Lattice parameters (Å, degrees): 4.4821 5.7834 6.3129 117.26 110.79 90.00
Fractional positions:
K 0.8664 0.8664 0.7328
Rb 0.5190 0.5190 0.0380
P 0.1902 0.1902 0.3804
Pd 0.6938 0.1938 0.3876

The following is a DFT calculation (PBE-GGA) of an optimized crystal structure of K2RbPPd.

Summary:
The symmetry is P4/mmm.

Lattice parameters (Å, degrees): 6.3382 6.3382 4.5913 90.00 90.00 90.00
Fractional positions:
P 0.0000 0.0000 0.5000
K 0.0000 0.5000 0.0000
Rb 0.5000 0.5000 0.5000
Pd 0.0000 0.0000 0.0000
K 0.5000 0.0000 0.0000

The following is a DFT calculation (PBE-GGA) of an optimized crystal structure of KRb2PPd.

Summary:
The symmetry is P4/mmm.

Lattice parameters (Å, degrees): 6.8073 6.8073 4.5145 90.00 90.00 90.00
Fractional positions:
Rb 0.5000 0.0000 0.0000
K 0.5000 0.5000 0.5000
P 0.0000 0.0000 0.0000
Pd 0.0000 0.0000 0.5000
Rb 0.0000 0.5000 0.0000

Number 1: E_form -0.49 eV/atom. Number 2: E_form -0.25 eV/atom. Number 3: E_form -0.37 eV/atom. Number 4: E_form -0.36 eV/atom. Number 5: E_form -0.14 eV/atom. Number 6: E_form -0.12 eV/atom.